A plane-wave DFT calculation with GGA-PBE was carried out for an optimized crystal structure of RbTl.

Summary:
Fermi-level density of states ... 2.4 states/eV per cell
SG ... P2_1/m, No. 11
Energy above the most stable polymorph in this dataset ... 9 meV/atom

Cell lengths 5.821, 5.426, 7.131 Å; angles 90.00, 114.14, 90.00 degrees
Positions (direct):
Rb 0.149 0.250 0.298
Rb 0.851 0.750 0.702
Tl 0.449 0.250 0.900
Tl 0.551 0.750 0.100